# LuMnO3

A relaxed LuMnO3 crystal (GGA+U, Alexandria via LeMat-Bulk).

It has space group P6_3cm (No. 185), with a = 6.0265 Å, b = 6.0265 Å, c = 11.4836 Å, α = 90.00°, β = 90.00° and γ = 120.00°. Symmetry generates all atoms from Lu at (0.0000, 0.0000, 0.0000), Lu at (0.3333, 0.6667, 0.4546), Mn at (0.0000, 0.3340, 0.2242), O at (0.0000, 0.0000, 0.1975), O at (0.0000, 0.3051, 0.3893), O at (0.0000, 0.3615, 0.0592) and O at (0.3333, 0.6667, 0.2461).

The crystal system is hexagonal. The total magnetization comes out at 12.00 Bohr magnetons per cell. For the total energy, the calculation gives -7.764 eV per atom.